MnPtOF2: optimized geometry, PBE with a Hubbard U.

```
MnPtOF2
1.0
4.0250 0.0000 0.0000
0.0000 4.0250 0.0000
0.0000 0.0000 3.9940
Mn Pt O F
1 1 1 2
Direct
0.0000 0.0000 0.0000
0.5000 0.5000 0.5000
0.0000 0.0000 0.5000
0.0000 0.5000 0.0000
0.5000 0.0000 0.0000
```

The calculated volume comes out at 64.7 Å³/cell. Its electronic total energy is -26.21 eV for the cell shown.